{"formula": "Ac2Y5Tm6", "functional": "PBE", "state": "optimized geometry", "volume_a3_per_atom": 33.58, "ef_mev_per_atom": 126, "dos_ef_per_ev_atom": 1.504, "lattice": [[-2.488, 2.614, 0.395], [-7.590, -7.903, 4.500], [7.025, 3.871, 18.649]], "species": ["Ac", "Ac", "Ac", "Ac", "Y", "Y", "Y", "Y", "Y", "Y", "Y", "Y", "Y", "Y", "Tm", "Tm", "Tm", "Tm", "Tm", "Tm", "Tm", "Tm", "Tm", "Tm", "Tm", "Tm"], "fractional_positions": [[0.000, 0.339, 0.277], [0.000, 0.661, 0.723], [0.000, 0.839, 0.223], [0.000, 0.161, 0.777], [0.500, 0.300, 0.446], [0.500, 0.700, 0.554], [0.500, 0.800, 0.054], [0.500, 0.200, 0.946], [0.500, 0.599, 0.284], [0.500, 0.401, 0.716], [0.500, 0.099, 0.216], [0.500, 0.901, 0.784], [0.500, 0.500, 0.000], [0.500, 0.000, 0.500], [0.000, 0.073, 0.361], [0.000, 0.927, 0.639], [0.000, 0.573, 0.139], [0.000, 0.427, 0.861], [0.500, 0.318, 0.118], [0.500, 0.682, 0.882], [0.500, 0.818, 0.382], [0.500, 0.182, 0.618], [0.000, 0.562, 0.426], [0.000, 0.438, 0.574], [0.000, 0.062, 0.074], [0.000, 0.938, 0.926]]}